DFT (PBE-GGA) results for a geometry-optimized BaTbSi structure. Values from VASP.

Geometry as Quantum ESPRESSO input:
```
&SYSTEM
  ibrav = 0, nat = 3, ntyp = 3
/
ATOMIC_SPECIES
Ba 137.33 Ba.upf
Tb 158.93 Tb.upf
Si 28.09 Si.upf
CELL_PARAMETERS angstrom
-3.979 -3.209 -1.010
-2.058 -2.881 3.823
-4.758 1.098 1.817
ATOMIC_POSITIONS crystal
Ba 0.000 0.000 0.000
Tb 0.750 0.750 0.750
Si 0.250 0.250 0.250
```

The raw total energy comes out at -9.92 eV for the cell shown. The total magnetic moment is 0.0 μB/cell. Its space-group type is No. 216. The calculation puts the density at 5.4 g/cm³.

=====

DFT (PBE-GGA) results for a geometry-optimized ZrU2Fe2 structure. Values from VASP.

Geometry as Quantum ESPRESSO input:
```
&SYSTEM
  ibrav = 0, nat = 10, ntyp = 3
/
ATOMIC_SPECIES
U 238.03 U.upf
Fe 55.84 Fe.upf
Zr 91.22 Zr.upf
CELL_PARAMETERS angstrom
4.409 0.000 0.000
-2.205 3.819 0.000
0.000 0.000 10.705
ATOMIC_POSITIONS crystal
U 0.333 0.667 0.900
U 0.667 0.333 0.400
Fe 0.667 0.333 0.871
Zr 0.000 0.000 0.250
Fe 0.667 0.333 0.629
Fe 0.333 0.667 0.129
Fe 0.333 0.667 0.371
U 0.667 0.333 0.100
U 0.333 0.667 0.600
Zr 0.000 0.000 0.750
```

The raw total energy comes out at -92.64 eV for the cell shown. The total magnetic moment is 2.1 μB/cell. Its space-group type is No. 194. The calculation puts the density at 12.5 g/cm³. As for the formation energy from the elements: 288 meV per atom.

=====

Q: Number 2 is which compound?
A: ZrU2Fe2